Entry 1:
Below is crystalline YZrTe3 at its relaxed geometry, with properties calculated at the PBEsol level.

Results
- ΔE_f (raw) (eV/atom) = 0.146
- V (A^3/atom) = 35.714

```
data_YZrTe3
_space_group_name_H-M_alt 'P 1'
_space_group_IT_number 1
_cell_length_a 5.631
_cell_length_b 5.631
_cell_length_c 5.631
_cell_angle_alpha 90.00
_cell_angle_beta 90.00
_cell_angle_gamma 90.00
loop_
_space_group_symop_operation_xyz
'x,y,z'
loop_
_atom_site_label
_atom_site_type_symbol
_atom_site_fract_x
_atom_site_fract_y
_atom_site_fract_z
Te1 Te 0.500 0.000 0.000
Zr1 Zr 0.500 0.500 0.500
Te2 Te 0.000 0.000 0.500
Y1 Y 0.000 0.000 0.000
Te3 Te 0.000 0.500 0.000
```


Entry 2:
Below is crystalline YZrTe2 at its relaxed geometry, with properties calculated at the PBEsol level.

Results
- ΔE_f (raw) (eV/atom) = -1.081
- V (A^3/atom) = 25.791
- distance to the lowest polymorph of the same formula (kJ/mol of formula units) = 0

```
data_YZrTe2
_space_group_name_H-M_alt 'P 1'
_space_group_IT_number 1
_cell_length_a 3.944
_cell_length_b 3.944
_cell_length_c 6.632
_cell_angle_alpha 90.00
_cell_angle_beta 90.00
_cell_angle_gamma 90.00
loop_
_space_group_symop_operation_xyz
'x,y,z'
loop_
_atom_site_label
_atom_site_type_symbol
_atom_site_fract_x
_atom_site_fract_y
_atom_site_fract_z
Te1 Te 0.500 0.500 0.317
Y1 Y 0.000 0.000 0.470
Te2 Te 0.000 0.000 0.934
Zr1 Zr 0.500 0.500 0.780
```